# 1
# RbSc2I6 PBE-GGA relaxed
data_RbSc2I6
_space_group_name_H-M_alt 'P 1'
_space_group_IT_number 1
_cell_length_a 8.489
_cell_length_b 7.503
_cell_length_c 7.503
_cell_angle_alpha 120.00
_cell_angle_beta 90.00
_cell_angle_gamma 90.00
loop_
_space_group_symop_operation_xyz
'x,y,z'
loop_
_atom_site_label
_atom_site_fract_x
_atom_site_fract_y
_atom_site_fract_z
I1 0.299 0.000 0.638
I2 0.701 0.000 0.362
I3 0.701 0.362 0.000
Sc1 0.500 0.333 0.667
I4 0.299 0.638 0.000
Sc2 0.500 0.667 0.333
I5 0.299 0.362 0.362
I6 0.701 0.638 0.638
Rb1 0.000 0.000 0.000
# Calculated density, Mg/m³: 3.759
# Raw formation energy, meV per atom: -1244.4


# 2
# CrAs2Se PBE-GGA relaxed
data_CrAs2Se
_space_group_name_H-M_alt 'P 1'
_space_group_IT_number 1
_cell_length_a 4.723
_cell_length_b 4.723
_cell_length_c 3.440
_cell_angle_alpha 90.00
_cell_angle_beta 90.00
_cell_angle_gamma 105.76
loop_
_space_group_symop_operation_xyz
'x,y,z'
loop_
_atom_site_label
_atom_site_fract_x
_atom_site_fract_y
_atom_site_fract_z
As1 0.000 0.000 0.000
Se1 0.000 0.500 0.500
Cr1 0.500 0.000 0.500
As2 0.500 0.500 0.000
# Calculated density, Mg/m³: 6.313
# Raw formation energy, meV per atom: 354.0


# 3
# ScAg3Ge PBE-GGA relaxed
data_ScAg3Ge
_space_group_name_H-M_alt 'P 1'
_space_group_IT_number 1
_cell_length_a 4.832
_cell_length_b 4.832
_cell_length_c 4.832
_cell_angle_alpha 90.00
_cell_angle_beta 90.00
_cell_angle_gamma 90.00
loop_
_space_group_symop_operation_xyz
'x,y,z'
loop_
_atom_site_label
_atom_site_fract_x
_atom_site_fract_y
_atom_site_fract_z
Sc1 0.500 0.500 0.500
Ag1 0.500 0.000 0.000
Ag2 0.000 0.500 0.000
Ge1 0.000 0.000 0.000
Ag3 0.000 0.000 0.500
# Calculated density, Mg/m³: 6.493
# Energy above the lowest structure with this stoichiometry, eV per atom: 0.0000
# Formation energy, eV per atom: 0.334


# 4
# TbLu2Ru PBE-GGA relaxed
data_TbLu2Ru
_space_group_name_H-M_alt 'P 1'
_space_group_IT_number 1
_cell_length_a 3.378
_cell_length_b 3.378
_cell_length_c 8.715
_cell_angle_alpha 90.00
_cell_angle_beta 90.00
_cell_angle_gamma 90.00
loop_
_space_group_symop_operation_xyz
'x,y,z'
loop_
_atom_site_label
_atom_site_fract_x
_atom_site_fract_y
_atom_site_fract_z
Tb1 0.500 0.500 0.500
Ru1 0.500 0.500 0.000
Lu1 0.000 0.000 0.817
Lu2 0.000 0.000 0.183
# Calculated density, Mg/m³: 10.183
# Formation energy, eV per atom: -0.301


# 5
# LaGa9Tc2 PBE-GGA relaxed
data_LaGa9Tc2
_space_group_name_H-M_alt 'P 1'
_space_group_IT_number 1
_cell_length_a 3.393
_cell_length_b 8.594
_cell_length_c 8.594
_cell_angle_alpha 120.00
_cell_angle_beta 90.00
_cell_angle_gamma 90.00
loop_
_space_group_symop_operation_xyz
'x,y,z'
loop_
_atom_site_label
_atom_site_fract_x
_atom_site_fract_y
_atom_site_fract_z
Tc1 0.000 0.333 0.667
Ga1 0.500 0.808 0.192
Ga2 0.000 0.500 0.500
Ga3 0.500 0.615 0.808
La1 0.000 0.000 0.000
Ga4 0.500 0.192 0.385
Ga5 0.000 0.000 0.500
Tc2 0.000 0.667 0.333
Ga6 0.500 0.808 0.615
Ga7 0.000 0.500 0.000
Ga8 0.500 0.385 0.192
Ga9 0.500 0.192 0.808
# Calculated density, Mg/m³: 7.364
# Formation energy, eV per atom: -0.321


# 6
# Ca3BiF PBE-GGA relaxed
data_Ca3BiF
_space_group_name_H-M_alt 'P 1'
_space_group_IT_number 1
_cell_length_a 5.132
_cell_length_b 5.132
_cell_length_c 5.132
_cell_angle_alpha 90.00
_cell_angle_beta 90.00
_cell_angle_gamma 90.00
loop_
_space_group_symop_operation_xyz
'x,y,z'
loop_
_atom_site_label
_atom_site_fract_x
_atom_site_fract_y
_atom_site_fract_z
F1 0.000 0.000 0.000
Bi1 0.500 0.500 0.500
Ca1 0.000 0.500 0.000
Ca2 0.000 0.000 0.500
Ca3 0.500 0.000 0.000
# Calculated density, Mg/m³: 4.278
# Raw formation energy, meV per atom: -1279.2
# Energy above the lowest structure with this stoichiometry, eV per atom: 0.0000


# 7
# LiAu3O PBE-GGA relaxed
data_LiAu3O
_space_group_name_H-M_alt 'P 1'
_space_group_IT_number 1
_cell_length_a 4.418
_cell_length_b 4.418
_cell_length_c 4.418
_cell_angle_alpha 90.00
_cell_angle_beta 90.00
_cell_angle_gamma 90.00
loop_
_space_group_symop_operation_xyz
'x,y,z'
loop_
_atom_site_label
_atom_site_fract_x
_atom_site_fract_y
_atom_site_fract_z
O1 0.500 0.500 0.500
Au1 0.000 0.000 0.500
Li1 0.000 0.000 0.000
Au2 0.000 0.500 0.000
Au3 0.500 0.000 0.000
# Calculated density, Mg/m³: 11.816
# Raw formation energy, meV per atom: 811.6
# Energy above the lowest structure with this stoichiometry, eV per atom: 0.6817


# 8
# Tm5Sb4As PBE-GGA relaxed
data_Tm5Sb4As
_space_group_name_H-M_alt 'P 1'
_space_group_IT_number 1
_cell_length_a 4.290
_cell_length_b 4.290
_cell_length_c 15.434
_cell_angle_alpha 97.99
_cell_angle_beta 97.99
_cell_angle_gamma 90.00
loop_
_space_group_symop_operation_xyz
'x,y,z'
loop_
_atom_site_label
_atom_site_fract_x
_atom_site_fract_y
_atom_site_fract_z
Tm1 0.701 0.701 0.401
Tm2 0.299 0.299 0.599
Sb1 0.600 0.600 0.199
As1 0.000 0.000 0.000
Tm3 0.500 0.500 0.000
Sb2 0.802 0.802 0.604
Sb3 0.198 0.198 0.396
Sb4 0.400 0.400 0.801
Tm4 0.906 0.906 0.811
Tm5 0.094 0.094 0.189
# Calculated density, Mg/m³: 8.388
# Raw formation energy, meV per atom: -1133.8


# 9
# ZrNb3W PBE-GGA relaxed
data_ZrNb3W
_space_group_name_H-M_alt 'P 1'
_space_group_IT_number 1
_cell_length_a 4.795
_cell_length_b 4.795
_cell_length_c 4.795
_cell_angle_alpha 90.00
_cell_angle_beta 90.00
_cell_angle_gamma 90.00
loop_
_space_group_symop_operation_xyz
'x,y,z'
loop_
_atom_site_label
_atom_site_fract_x
_atom_site_fract_y
_atom_site_fract_z
Nb1 0.000 0.000 0.500
Zr1 0.000 0.000 0.000
W1 0.500 0.500 0.500
Nb2 0.500 0.000 0.000
Nb3 0.000 0.500 0.000
# Calculated density, Mg/m³: 8.340
# Energy above the lowest structure with this stoichiometry, eV per atom: 0.9569
# Formation energy, eV per atom: 2.069


# 10
# Ca5BiSb2As PBE-GGA relaxed
data_Ca5BiSb2As
_space_group_name_H-M_alt 'P 1'
_space_group_IT_number 1
_cell_length_a 5.288
_cell_length_b 7.547
_cell_length_c 9.037
_cell_angle_alpha 114.68
_cell_angle_beta 107.01
_cell_angle_gamma 90.00
loop_
_space_group_symop_operation_xyz
'x,y,z'
loop_
_atom_site_label
_atom_site_fract_x
_atom_site_fract_y
_atom_site_fract_z
Bi1 0.000 0.500 0.000
Sb1 0.201 0.201 0.403
As1 0.500 0.000 0.000
Ca1 0.640 0.893 0.280
Ca2 0.360 0.613 0.720
Sb2 0.799 0.799 0.597
Ca3 0.000 0.000 0.000
Ca4 0.360 0.107 0.720
Ca5 0.640 0.387 0.280
# Calculated density, Mg/m³: 3.896
# Raw formation energy, meV per atom: -788.7


# 11
# Ba2HoPu3O12 PBE-GGA relaxed
data_Ba2HoPu3O12
_space_group_name_H-M_alt 'P 1'
_space_group_IT_number 1
_cell_length_a 7.796
_cell_length_b 7.796
_cell_length_c 7.796
_cell_angle_alpha 62.46
_cell_angle_beta 62.46
_cell_angle_gamma 62.46
loop_
_space_group_symop_operation_xyz
'x,y,z'
loop_
_atom_site_label
_atom_site_fract_x
_atom_site_fract_y
_atom_site_fract_z
O1 0.960 0.312 0.312
O2 0.312 0.312 0.960
O3 0.312 0.960 0.312
O4 0.925 0.925 0.338
Pu1 0.000 0.500 0.000
O5 0.688 0.040 0.688
Ho1 0.000 0.000 0.000
O6 0.075 0.662 0.075
Ba1 0.313 0.313 0.313
O7 0.075 0.075 0.662
O8 0.662 0.075 0.075
O9 0.925 0.338 0.925
Pu2 0.000 0.000 0.500
Ba2 0.687 0.687 0.687
Pu3 0.500 0.000 0.000
O10 0.688 0.688 0.040
O11 0.338 0.925 0.925
O12 0.040 0.688 0.688
# Calculated density, Mg/m³: 6.406
# Raw formation energy, meV per atom: -2798.7


# 12
# Ti2GaW PBE-GGA relaxed
data_Ti2GaW
_space_group_name_H-M_alt 'P 1'
_space_group_IT_number 1
_cell_length_a 3.388
_cell_length_b 4.319
_cell_length_c 4.319
_cell_angle_alpha 90.00
_cell_angle_beta 90.00
_cell_angle_gamma 90.00
loop_
_space_group_symop_operation_xyz
'x,y,z'
loop_
_atom_site_label
_atom_site_fract_x
_atom_site_fract_y
_atom_site_fract_z
Ti1 0.000 0.500 0.000
Ti2 0.000 0.000 0.500
Ga1 0.500 0.000 0.000
W1 0.500 0.500 0.500
# Calculated density, Mg/m³: 9.178
# Formation energy, eV per atom: -0.278


no.,uncorrected energy (eV/cell)
1,-34.131
2,-20.991
3,-17.831
4,-24.150
5,-56.757
6,-18.153
7,-12.646
8,-54.835
9,-41.367
10,-33.881
11,-161.295
12,-32.881